Material: La3SnN
Method: DFT, PBE
State: relaxed

Lattice parameters (Å, degrees): 5.480 5.480 10.103 90.00 90.00 120.00
Atoms (fractional coordinates):
La 0.000 0.000 0.250
La 0.000 0.000 0.750
La 0.333 0.667 0.069
La 0.333 0.667 0.431
La 0.667 0.333 0.569
La 0.667 0.333 0.931
Sn 0.333 0.667 0.750
Sn 0.667 0.333 0.250
N 0.000 0.000 0.000
N 0.000 0.000 0.500

Computed properties:
- M_tot: 0.3994 μB per atom
- Space group: P6_3/mmc (194)
- Energy relative to the elements, uncorrected: -479.1 meV per atom
- V: 262.8 Å³ per cell
- Calculated total energy: -5.901 eV/atom


Material: DyHo4ErS8
Method: DFT, PBE
State: relaxed

Lattice parameters (Å, degrees): 8.005 8.005 8.005 60.04 60.04 60.04
Atoms (fractional coordinates):
Dy 0.000 0.000 0.000
Ho 0.125 0.625 0.625
Ho 0.250 0.250 0.250
Ho 0.625 0.125 0.625
Ho 0.625 0.625 0.125
Er 0.625 0.625 0.625
S 0.382 0.382 0.382
S 0.383 0.383 0.852
S 0.383 0.852 0.383
S 0.399 0.866 0.866
S 0.852 0.383 0.383
S 0.866 0.399 0.866
S 0.866 0.866 0.399
S 0.867 0.867 0.867

Computed properties:
- M_tot: 0.0000 μB per atom
- Space group: R3m (160)
- Energy relative to the elements, uncorrected: -1928.9 meV per atom
- V: 363.0 Å³ per cell
- Calculated total energy: -6.250 eV/atom


Material: KTaHg2Pd
Method: DFT, PBE
State: relaxed

Lattice parameters (Å, degrees): 5.494 5.494 4.948 90.00 90.00 90.00
Atoms (fractional coordinates):
K 0.000 0.000 0.000
Ta 0.500 0.500 0.500
Hg 0.000 0.500 0.000
Hg 0.500 0.000 0.000
Pd 0.000 0.000 0.500

Computed properties:
- M_tot: 0.6168 μB per atom
- Space group: P4/mmm (123)
- V: 149.4 Å³ per cell
- Calculated total energy: -1.993 eV/atom
- DFT formation energy: 1.756 eV/atom


Material: Dy3BiSe6
Method: DFT, PBE
State: relaxed

Lattice parameters (Å, degrees): 11.779 4.171 11.903 90.00 109.43 90.00
Atoms (fractional coordinates):
Dy 0.069 0.250 0.165
Dy 0.169 0.750 0.494
Dy 0.341 0.250 0.921
Dy 0.659 0.750 0.079
Dy 0.831 0.250 0.506
Dy 0.931 0.750 0.835
Bi 0.480 0.250 0.315
Bi 0.520 0.750 0.685
Se 0.014 0.250 0.382
Se 0.105 0.250 0.937
Se 0.234 0.750 0.278
Se 0.300 0.750 0.746
Se 0.383 0.250 0.528
Se 0.420 0.750 0.093
Se 0.580 0.250 0.907
Se 0.617 0.750 0.472
Se 0.700 0.250 0.254
Se 0.766 0.250 0.722
Se 0.895 0.750 0.063
Se 0.986 0.750 0.618

Computed properties:
- M_tot: 0.0000 μB per atom
- Space group: P2_1/m (11)
- Energy relative to the elements, uncorrected: -1472.0 meV per atom
- V: 551.5 Å³ per cell
- Calculated total energy: -5.331 eV/atom